A geometry-optimized VInNi2C structure. Source: Alexandria, functional PBE.

a = 3.9287 Å, b = 3.9287 Å, c = 3.9926 Å
α = 90.00°, β = 90.00°, γ = 90.00°
Each line ends with the local moment (μB).
Atoms (fractional coordinates):
1 Ni 0.5000 0.0000 0.0000  0.13
2 Ni 0.0000 0.5000 0.0000  0.13
3 In 0.5000 0.5000 0.5000  0.01
4 C 0.0000 0.0000 0.0000  -0.01
5 V 0.0000 0.0000 0.5000  0.63

Results
ΔH_f (0 K): -41 meV per atom
ρ: 7.95 g/cm3